MgInCl: optimized geometry, PBE.

E_form (uncorrected) in meV per atom: -861
Symmetry: P1, No. 1
Final energy in eV/atom: -2.92
Offset from the most stable computed form in meV per atom: 0

```
MgInCl
1.0
3.558 0.000 0.000
1.779 3.146 0.000
0.070 1.124 13.396
Mg In Cl
2 2 2
Cartesian
0.000 0.000 0.000 Mg
1.859 1.154 6.460 Mg
1.852 2.257 11.137 In
3.633 2.292 8.724 In
1.859 3.237 5.055 Cl
3.560 2.083 1.406 Cl
```